(1)
This record from the Alexandria database describes crystalline Ba2AlTc at its relaxed geometry. The functional is GGA-PBE.

Lattice parameters (Å, degrees): 4.0667 5.4355 11.2471 90.00 90.00 90.00
Last column: nearest neighbours and their distance in Å.
Space group Imm2 (No. 44)
Unique sites:
Ba: 0.0000 0.0000 0.0000 (multiplicity 2)  4 Al 3.52, 4 Ba 3.58-3.87, 4 Tc 3.60-3.85
Ba: 0.0000 0.5000 0.2077 (multiplicity 2)  4 Tc 3.52, 4 Ba 3.58-3.87, 4 Al 3.59-3.85
Al: 0.0000 0.0000 0.4167 (multiplicity 2)  2 Tc 2.48
Tc: 0.0000 0.5000 0.7905 (multiplicity 2)  2 Al 2.48

Values from the calculation:
Density of states at the Fermi level (states/eV per cell): 5.92
Energy relative to the elements (eV per formula unit): 1.442

=====

(2)
This record from the Alexandria database describes crystalline Tb5DyEr4 at its relaxed geometry. The functional is GGA-PBE.

Lattice parameters (Å, degrees): 10.1137 10.1137 6.2593 90.00 90.00 90.00
Last column: nearest neighbours and their distance in Å.
Space group I4 (No. 79)
Unique sites:
Tb: 0.0000 0.0000 0.0000 (multiplicity 2)  1 Dy 2.87
Tb: 0.1459 0.7675 0.2709 (multiplicity 8)  4 Er 3.19-3.48, 1 Dy 3.25, 1 Tb 3.25
Dy: 0.0000 0.0000 0.5416 (multiplicity 2)  1 Tb 2.87
Er: 0.0480 0.6537 0.7704 (multiplicity 8)  4 Tb 3.19-3.48, 1 Er 3.26

Values from the calculation:
Relative energy among the computed polymorphs (eV/atom): 0.2920
Density of states at the Fermi level (states/eV per cell): 29.60
Energy relative to the elements (eV per formula unit): 3.078

=====

(3)
This record from the Alexandria database describes crystalline In2FeTe at its relaxed geometry. The functional is GGA-PBE.

Lattice parameters (Å, degrees): 4.5698 4.5698 4.6321 90.00 90.00 90.00
Last column: nearest neighbours and their distance in Å.
Space group P4/mmm (No. 123)
Unique sites:
In: 0.0000 0.5000 0.0000 (multiplicity 2)  4 In 3.23, 4 Fe 3.25, 4 Te 3.25
Fe: 0.0000 0.0000 0.5000 (multiplicity 1)  4 Te 3.23, 8 In 3.25
Te: 0.5000 0.5000 0.5000 (multiplicity 1)  4 Fe 3.23, 8 In 3.25

Values from the calculation:
Calculated total energy (eV per atom): -3.82
Density of states at the Fermi level (states/eV per cell): 4.57

=====

(4)
This record from the Alexandria database describes crystalline Li2Pm2DyIn5 at its relaxed geometry. The functional is GGA-PBE.

Lattice parameters (Å, degrees): 10.3362 10.3362 4.5105 90.00 90.00 90.00
Last column: nearest neighbours and their distance in Å.
Space group P4/mbm (No. 127)
Unique sites:
Li: 0.1169 0.3831 0.0000 (multiplicity 4)  6 In 2.83-2.91, 3 Pm 3.01-3.11
Pm: 0.1774 0.6774 0.0000 (multiplicity 4)  3 Li 3.01-3.11
Dy: 0.0000 0.0000 0.0000 (multiplicity 2)  8 In 3.22
In: 0.0000 0.5000 0.5000 (multiplicity 2)  4 Li 2.83, 4 In 3.07
In: 0.0692 0.2115 0.5000 (multiplicity 8)  2 Li 2.91, 4 In 3.07-3.25, 2 Dy 3.22

Values from the calculation:
Density of states at the Fermi level (states/eV per cell): 11.23
Energy relative to the elements (eV per formula unit): -4.157

=====

(5)
This record from the Alexandria database describes crystalline NaYHf at its relaxed geometry. The functional is GGA-PBE.

Lattice parameters (Å, degrees): 5.6696 5.6696 3.0248 90.00 90.00 120.00
Last column: nearest neighbours and their distance in Å.
Space group P-6m2 (No. 187)
Unique sites:
Na: 0.0000 0.0000 0.0000 (multiplicity 1)  2 Na 3.02
Y: 0.3333 0.6667 0.5000 (multiplicity 1)  2 Y 3.02, 3 Hf 3.27
Hf: 0.6667 0.3333 0.5000 (multiplicity 1)  2 Hf 3.02, 3 Y 3.27

Values from the calculation:
Relative energy among the computed polymorphs (eV/atom): 0.6058
Density of states at the Fermi level (states/eV per cell): 4.50
Energy relative to the elements (eV per formula unit): 2.174

=====

(6)
This record from the Alexandria database describes crystalline CsK2BaBi at its relaxed geometry. The functional is GGA-PBE.

Lattice parameters (Å, degrees): 7.1187 7.1187 6.9352 90.00 90.00 90.00
Last column: nearest neighbours and their distance in Å.
Space group P4/mmm (No. 123)
Unique sites:
Cs: 0.0000 0.0000 0.0000 (multiplicity 1)  8 K 4.97, 4 Ba 5.03
K: 0.0000 0.5000 0.5000 (multiplicity 2)  2 Bi 3.56
Ba: 0.5000 0.5000 0.0000 (multiplicity 1)  2 Bi 3.47
Bi: 0.5000 0.5000 0.5000 (multiplicity 1)  2 Ba 3.47, 4 K 3.56

Values from the calculation:
Density of states at the Fermi level (states/eV per cell): 2.71
Energy relative to the elements (eV per formula unit): -1.224

=====

(7)
This record from the Alexandria database describes crystalline Te2RhPb at its relaxed geometry. The functional is GGA-PBE.

Lattice parameters (Å, degrees): 3.3447 4.8527 12.8062 90.00 90.00 90.00
Last column: nearest neighbours and their distance in Å.
Space group Imm2 (No. 44)
Unique sites:
Te: 0.0000 0.0000 0.0000 (multiplicity 2)  2 Rh 2.67
Te: 0.0000 0.5000 0.1891 (multiplicity 2)  4 Rh 2.97, 2 Pb 3.29
Rh: 0.0000 0.5000 0.6628 (multiplicity 2)  6 Te 2.67-2.97
Pb: 0.0000 0.0000 0.3631 (multiplicity 2)  2 Rh 3.06, 6 Te 3.29-3.43, 2 Pb 3.34

Values from the calculation:
Calculated total energy (eV per atom): -4.40
Density of states at the Fermi level (states/eV per cell): 3.78

=====

(8)
This record from the Alexandria database describes crystalline Cs4TlGe3I12 at its relaxed geometry. The functional is GGA-PBE.

Lattice parameters (Å, degrees): 12.1354 12.1354 12.1354 90.00 90.00 90.00
Last column: nearest neighbours and their distance in Å.
Space group Im-3m (No. 229)
Unique sites:
Cs: 0.2500 0.2500 0.2500 (multiplicity 8)  12 I 4.29
Tl: 0.0000 0.0000 0.0000 (multiplicity 2)  6 I 3.16
Ge: 0.0000 0.0000 0.5000 (multiplicity 6)  6 I 2.91-3.03
I: 0.0000 0.0000 0.2604 (multiplicity 12)  1 Ge 2.91, 1 Tl 3.16
I: 0.0000 0.2500 0.5000 (multiplicity 12)  2 Ge 3.03

Values from the calculation:
Calculated total energy (eV per atom): -2.74
Density of states at the Fermi level (states/eV per cell): 2.18